{
  "formula": "PbCl2",
  "functional": "PBE",
  "state": "optimized geometry",
  "sg": "C2/m (12)",
  "raw_formation_energy_ev_per_atom": -1.128,
  "lattice": [[6.590, -2.029, 0.000], [6.590, 2.029, 0.000], [-1.876, 0.000, 7.089]],
  "species": ["Pb", "Pb", "Cl", "Cl", "Cl", "Cl"],
  "frac_coords": [[0.107, 0.107, 0.305], [0.893, 0.893, 0.695], [0.238, 0.238, 0.700], [0.500, 0.500, 0.000], [0.500, 0.500, 0.500], [0.762, 0.762, 0.300]]
}

=====

{
  "formula": "Te3PdPb",
  "functional": "PBE",
  "state": "optimized geometry",
  "sg": "Pm-3m (221)",
  "raw_formation_energy_ev_per_atom": 0.963,
  "lattice": [[5.831, 0.000, 0.000], [0.000, 5.831, 0.000], [0.000, 0.000, 5.831]],
  "species": ["Te", "Te", "Te", "Pd", "Pb"],
  "frac_coords": [[0.000, 0.000, 0.500], [0.000, 0.500, 0.000], [0.500, 0.000, 0.000], [0.500, 0.500, 0.500], [0.000, 0.000, 0.000]]
}

=====

{
  "formula": "TbSm6Er4",
  "functional": "PBE",
  "state": "optimized geometry",
  "sg": "I-42m (121)",
  "ef_ev_per_atom": 0.310,
  "lattice": [[-3.307, 3.307, 8.552], [3.307, -3.307, 8.552], [3.307, 3.307, -8.552]],
  "species": ["Tb", "Sm", "Sm", "Sm", "Sm", "Sm", "Sm", "Er", "Er", "Er", "Er"],
  "frac_coords": [[0.000, 0.000, 0.000], [0.000, 0.500, 0.500], [0.013, 0.636, 0.000], [0.364, 0.364, 0.377], [0.500, 0.000, 0.500], [0.636, 0.013, 0.000], [0.987, 0.987, 0.623], [0.192, 0.192, 0.641], [0.449, 0.808, 0.000], [0.551, 0.551, 0.359], [0.808, 0.449, 0.000]]
}

=====

{
  "formula": "TaF2",
  "functional": "PBE",
  "state": "optimized geometry",
  "sg": "Cm (8)",
  "raw_formation_energy_ev_per_atom": -2.134,
  "lattice": [[5.321, -1.399, 0.000], [5.321, 1.399, 0.000], [-4.733, 0.000, 5.891]],
  "species": ["Ta", "Ta", "F", "F", "F", "F"],
  "frac_coords": [[0.000, 0.000, 0.000], [0.194, 0.194, 0.679], [0.080, 0.080, 0.323], [0.157, 0.157, 0.924], [0.508, 0.508, 0.553], [0.825, 0.825, 0.624]]
}

=====

{
  "formula": "Ac2AgP3Pd4",
  "functional": "PBE",
  "state": "optimized geometry",
  "sg": "P-4m2 (115)",
  "ef_ev_per_atom": -0.811,
  "lattice": [[4.358, 0.000, 0.000], [0.000, 4.358, 0.000], [0.000, 0.000, 10.367]],
  "species": ["Ac", "Ac", "Ag", "P", "P", "P", "Pd", "Pd", "Pd", "Pd"],
  "frac_coords": [[0.000, 0.500, 0.244], [0.500, 0.000, 0.756], [0.000, 0.000, 0.500], [0.000, 0.500, 0.874], [0.500, 0.000, 0.126], [0.500, 0.500, 0.500], [0.000, 0.000, 0.000], [0.000, 0.500, 0.644], [0.500, 0.000, 0.356], [0.500, 0.500, 0.000]]
}

=====

{
  "formula": "PmNdYSn",
  "functional": "PBE",
  "state": "optimized geometry",
  "sg": "F-43m (216)",
  "ef_ev_per_atom": -0.248,
  "lattice": [[0.000, 3.897, 3.897], [3.897, 0.000, 3.897], [3.897, 3.897, 0.000]],
  "species": ["Pm", "Nd", "Y", "Sn"],
  "frac_coords": [[0.000, 0.000, 0.000], [0.250, 0.250, 0.250], [0.750, 0.750, 0.750], [0.500, 0.500, 0.500]]
}

=====

{
  "formula": "Mn2CdBr",
  "functional": "PBE",
  "state": "optimized geometry",
  "sg": "C2/m (12)",
  "raw_formation_energy_ev_per_atom": 0.483,
  "lattice": [[3.146, -4.710, 0.000], [3.146, 4.710, 0.000], [-1.593, 0.000, 2.795]],
  "species": ["Mn", "Mn", "Cd", "Br"],
  "frac_coords": [[0.000, 0.500, 0.000], [0.500, 0.000, 0.000], [0.000, 0.000, 0.500], [0.500, 0.500, 0.500]]
}

=====

{
  "formula": "Sc3Cr",
  "functional": "PBE",
  "state": "optimized geometry",
  "sg": "R-3m (166)",
  "ef_ev_per_atom": 0.317,
  "lattice": [[4.920, 2.841, 1.036], [-4.920, 2.841, 1.036], [0.000, -5.682, 1.036]],
  "species": ["Sc", "Sc", "Sc", "Cr"],
  "frac_coords": [[0.000, 0.500, 0.500], [0.500, 0.000, 0.500], [0.500, 0.500, 0.000], [0.000, 0.000, 0.000]]
}

=====

Repeat the sixth record exactly.
{
  "formula": "PmNdYSn",
  "functional": "PBE",
  "state": "optimized geometry",
  "sg": "F-43m (216)",
  "ef_ev_per_atom": -0.248,
  "lattice": [[0.000, 3.897, 3.897], [3.897, 0.000, 3.897], [3.897, 3.897, 0.000]],
  "species": ["Pm", "Nd", "Y", "Sn"],
  "frac_coords": [[0.000, 0.000, 0.000], [0.250, 0.250, 0.250], [0.750, 0.750, 0.750], [0.500, 0.500, 0.500]]
}

=====

Number 3 is which compound? TbSm6Er4